PmSi2Ge PBE relaxed; calculated volume = 20.873 Å³/atom; raw formation energy = -15.33 kJ per mole of atoms
1.0
2.4950 -4.4937 0.0000
2.4950 4.4937 0.0000
0.0000 0.0000 3.7234
Pm Si Ge
1 2 1
Cartesian
0.0000 0.0000 0.0000 Pm
1.2475 2.2468 1.8617 Si
1.2475 -2.2468 1.8617 Si
2.4950 0.0000 1.8617 Ge